(1)
The following is a PBE-GGA calculation of a relaxed structure of Mg5Pd, from Alexandria.

```
data_Mg5Pd
_chemical_formula_sum 'Mg5 Pd1'
_cell_length_a 4.851
_cell_length_b 5.310
_cell_length_c 5.310
_cell_angle_alpha 120.01
_cell_angle_beta 90.00
_cell_angle_gamma 90.00
_space_group_name_H-M_alt 'P 1'
_space_group_IT_number 1
_space_group_name_Hall 'P 1'
loop_
_atom_site_label
_atom_site_type_symbol
_atom_site_fract_x
_atom_site_fract_y
_atom_site_fract_z
Mg1 Mg 0.000 0.649 0.649
Mg2 Mg 0.500 0.666 0.000
Mg3 Mg 0.000 0.018 0.334
Mg4 Mg 0.500 0.000 0.666
Mg5 Mg 0.000 0.334 0.018
Pd1 Pd 0.500 0.333 0.333
```

Calculated values
Calculated density, g cm⁻³: 3.196
Size of the total moment, μB/f.u.: 0.0
ΔE_f, eV per atom: -0.246



(2)
The following is a PBE-GGA calculation of a relaxed structure of LaTl3Ag, from Alexandria.

```
data_LaTl3Ag
_chemical_formula_sum 'La1 Tl3 Ag1'
_cell_length_a 6.212
_cell_length_b 6.212
_cell_length_c 6.212
_cell_angle_alpha 90.00
_cell_angle_beta 90.00
_cell_angle_gamma 90.00
_space_group_name_H-M_alt 'P 1'
_space_group_IT_number 1
_space_group_name_Hall 'P 1'
loop_
_atom_site_label
_atom_site_type_symbol
_atom_site_fract_x
_atom_site_fract_y
_atom_site_fract_z
Tl1 Tl 0.000 0.500 0.000
Tl2 Tl 0.000 0.000 0.500
Tl3 Tl 0.500 0.000 0.000
Ag1 Ag 0.500 0.500 0.500
La1 La 0.000 0.000 0.000
```

Calculated values
Calculated density, g cm⁻³: 5.958
Size of the total moment, μB/f.u.: 0.0
ΔE_f, eV per atom: 0.759



(3)
The following is a PBE-GGA calculation of a relaxed structure of NpSbF, from Alexandria.

```
data_NpSbF
_chemical_formula_sum 'Np2 Sb2 F2'
_cell_length_a 3.881
_cell_length_b 3.881
_cell_length_c 10.794
_cell_angle_alpha 90.00
_cell_angle_beta 90.00
_cell_angle_gamma 120.00
_space_group_name_H-M_alt 'P 1'
_space_group_IT_number 1
_space_group_name_Hall 'P 1'
loop_
_atom_site_label
_atom_site_type_symbol
_atom_site_fract_x
_atom_site_fract_y
_atom_site_fract_z
Np1 Np 0.667 0.333 0.172
Np2 Np 0.333 0.667 0.828
Sb1 Sb 0.000 0.000 0.370
Sb2 Sb 0.000 0.000 0.630
F1 F 0.667 0.333 0.926
F2 F 0.333 0.667 0.074
```

Calculated values
Calculated density, g cm⁻³: 8.908
Size of the total moment, μB/f.u.: 4.5
Formation energy (no corrections), eV per atom: -1.26



(4)
The following is a PBE-GGA calculation of a relaxed structure of LiLuPuRe, from Alexandria.

```
data_LiLuPuRe
_chemical_formula_sum 'Li1 Lu1 Pu1 Re1'
_cell_length_a 4.832
_cell_length_b 4.832
_cell_length_c 4.832
_cell_angle_alpha 60.00
_cell_angle_beta 60.00
_cell_angle_gamma 60.00
_space_group_name_H-M_alt 'P 1'
_space_group_IT_number 1
_space_group_name_Hall 'P 1'
loop_
_atom_site_label
_atom_site_type_symbol
_atom_site_fract_x
_atom_site_fract_y
_atom_site_fract_z
Re1 Re 0.500 0.500 0.500
Lu1 Lu 0.250 0.250 0.250
Li1 Li 0.000 0.000 0.000
Pu1 Pu 0.750 0.750 0.750
```

Calculated values
Calculated density, g cm⁻³: 12.741
Size of the total moment, μB/f.u.: 4.7
ΔE_f, eV per atom: 0.113



(5)
The following is a PBE-GGA calculation of a relaxed structure of SrZr4P6O24, from Alexandria.

```
data_SrZr4P6O24
_chemical_formula_sum 'Sr1 Zr4 P6 O24'
_cell_length_a 9.385
_cell_length_b 9.385
_cell_length_c 9.385
_cell_angle_alpha 56.53
_cell_angle_beta 56.53
_cell_angle_gamma 56.53
_space_group_name_H-M_alt 'P 1'
_space_group_IT_number 1
_space_group_name_Hall 'P 1'
loop_
_atom_site_label
_atom_site_type_symbol
_atom_site_fract_x
_atom_site_fract_y
_atom_site_fract_z
Sr1 Sr 0.500 0.500 0.500
Zr1 Zr 0.857 0.857 0.857
Zr2 Zr 0.143 0.143 0.143
Zr3 Zr 0.350 0.350 0.350
Zr4 Zr 0.650 0.650 0.650
P1 P 0.043 0.744 0.470
P2 P 0.744 0.470 0.043
P3 P 0.470 0.043 0.744
P4 P 0.530 0.957 0.256
P5 P 0.957 0.256 0.530
P6 P 0.256 0.530 0.957
O1 O 0.310 0.049 0.927
O2 O 0.297 0.498 0.113
O3 O 0.749 0.644 0.018
O4 O 0.498 0.113 0.297
O5 O 0.228 0.588 0.420
O6 O 0.502 0.887 0.703
O7 O 0.690 0.951 0.073
O8 O 0.018 0.749 0.644
O9 O 0.420 0.228 0.588
O10 O 0.412 0.580 0.772
O11 O 0.982 0.251 0.356
O12 O 0.772 0.412 0.580
O13 O 0.887 0.703 0.502
O14 O 0.703 0.502 0.887
O15 O 0.113 0.297 0.498
O16 O 0.951 0.073 0.690
O17 O 0.588 0.420 0.228
O18 O 0.356 0.982 0.251
O19 O 0.073 0.690 0.951
O20 O 0.049 0.927 0.310
O21 O 0.580 0.772 0.412
O22 O 0.251 0.356 0.982
O23 O 0.927 0.310 0.049
O24 O 0.644 0.018 0.749
```

Calculated values
Calculated density, g cm⁻³: 3.158
Size of the total moment, μB/f.u.: 0.0
Formation energy (no corrections), eV per atom: -2.78



(6)
The following is a PBE-GGA calculation of a relaxed structure of SrAl8GaAg2, from Alexandria.

```
data_SrAl8GaAg2
_chemical_formula_sum 'Sr1 Al8 Ga1 Ag2'
_cell_length_a 5.595
_cell_length_b 5.595
_cell_length_c 9.923
_cell_angle_alpha 62.36
_cell_angle_beta 62.36
_cell_angle_gamma 65.20
_space_group_name_H-M_alt 'P 1'
_space_group_IT_number 1
_space_group_name_Hall 'P 1'
loop_
_atom_site_label
_atom_site_type_symbol
_atom_site_fract_x
_atom_site_fract_y
_atom_site_fract_z
Sr1 Sr 0.000 0.000 0.500
Al1 Al 0.840 0.372 0.760
Al2 Al 0.755 0.755 0.909
Al3 Al 0.663 0.663 0.489
Al4 Al 0.337 0.337 0.511
Al5 Al 0.245 0.245 0.091
Al6 Al 0.372 0.840 0.760
Al7 Al 0.628 0.160 0.240
Al8 Al 0.160 0.628 0.240
Ga1 Ga 0.000 0.000 0.000
Ag1 Ag 0.644 0.644 0.225
Ag2 Ag 0.356 0.356 0.775
```

Calculated values
Calculated density, g cm⁻³: 4.154
Size of the total moment, μB/f.u.: 0.0
ΔE_f, eV per atom: 0.010



(7)
The following is a PBE-GGA calculation of a relaxed structure of K2YRe, from Alexandria.

```
data_K2YRe
_chemical_formula_sum 'K2 Y1 Re1'
_cell_length_a 3.671
_cell_length_b 3.672
_cell_length_c 11.527
_cell_angle_alpha 71.51
_cell_angle_beta 90.00
_cell_angle_gamma 90.00
_space_group_name_H-M_alt 'P 1'
_space_group_IT_number 1
_space_group_name_Hall 'P 1'
loop_
_atom_site_label
_atom_site_type_symbol
_atom_site_fract_x
_atom_site_fract_y
_atom_site_fract_z
K1 K 0.000 0.049 0.954
K2 K 0.500 0.167 0.331
Re1 Re 0.000 0.446 0.554
Y1 Y 0.500 0.838 0.662
```

Calculated values
Calculated density, g cm⁻³: 3.982
Size of the total moment, μB/f.u.: 0.0
ΔE_f, eV per atom: 0.790



(8)
The following is a PBE-GGA calculation of a relaxed structure of HgMoSe, from Alexandria.

```
data_HgMoSe
_chemical_formula_sum 'Hg1 Mo1 Se1'
_cell_length_a 4.480
_cell_length_b 4.480
_cell_length_c 4.480
_cell_angle_alpha 60.00
_cell_angle_beta 60.00
_cell_angle_gamma 60.00
_space_group_name_H-M_alt 'P 1'
_space_group_IT_number 1
_space_group_name_Hall 'P 1'
loop_
_atom_site_label
_atom_site_type_symbol
_atom_site_fract_x
_atom_site_fract_y
_atom_site_fract_z
Hg1 Hg 0.500 0.500 0.500
Mo1 Mo 0.750 0.750 0.750
Se1 Se 0.000 0.000 0.000
```

Calculated values
Calculated density, g cm⁻³: 9.806
Size of the total moment, μB/f.u.: 0.0
Formation energy (no corrections), eV per atom: 0.59



(9)
The following is a PBE-GGA calculation of a relaxed structure of UP2PbO8, from Alexandria.

```
data_UP2PbO8
_chemical_formula_sum 'U1 P2 Pb1 O8'
_cell_length_a 5.429
_cell_length_b 5.429
_cell_length_c 7.456
_cell_angle_alpha 90.00
_cell_angle_beta 90.00
_cell_angle_gamma 120.00
_space_group_name_H-M_alt 'P 1'
_space_group_IT_number 1
_space_group_name_Hall 'P 1'
loop_
_atom_site_label
_atom_site_type_symbol
_atom_site_fract_x
_atom_site_fract_y
_atom_site_fract_z
U1 U 0.000 0.000 0.000
P1 P 0.333 0.667 0.723
P2 P 0.667 0.333 0.277
Pb1 Pb 0.000 0.000 0.500
O1 O 0.179 0.358 0.802
O2 O 0.179 0.821 0.802
O3 O 0.642 0.821 0.802
O4 O 0.358 0.179 0.198
O5 O 0.667 0.333 0.479
O6 O 0.333 0.667 0.521
O7 O 0.821 0.642 0.198
O8 O 0.821 0.179 0.198
```

Calculated values
Calculated density, g cm⁻³: 5.541
Size of the total moment, μB/f.u.: 2.0
Formation energy (no corrections), eV per atom: -2.33



(10)
The following is a PBE-GGA calculation of a relaxed structure of TaSiRu, from Alexandria.

```
data_TaSiRu
_chemical_formula_sum 'Ta1 Si1 Ru1'
_cell_length_a 4.185
_cell_length_b 4.185
_cell_length_c 4.185
_cell_angle_alpha 60.00
_cell_angle_beta 60.00
_cell_angle_gamma 60.00
_space_group_name_H-M_alt 'P 1'
_space_group_IT_number 1
_space_group_name_Hall 'P 1'
loop_
_atom_site_label
_atom_site_type_symbol
_atom_site_fract_x
_atom_site_fract_y
_atom_site_fract_z
Ru1 Ru 0.750 0.750 0.750
Si1 Si 0.000 0.000 0.000
Ta1 Ta 0.500 0.500 0.500
```

Calculated values
Calculated density, g cm⁻³: 9.937
Size of the total moment, μB/f.u.: 0.0
Formation energy (no corrections), eV per atom: -0.31



Q: Which value of size of the total moment does entry 9 give?
A: 2.0 μB/f.u.